Below is Ac2GeAs after structural relaxation, with properties calculated at the PBE-GGA level.

The space group is Cmcm (No. 63) and the conventional cell measures 4.644, 25.231 and 4.407 Å, with angles of 90.00, 90.00 and 90.00 degrees. The asymmetric unit holds Ac at (0.000, 0.066, 0.250), Ac at (0.000, 0.312, 0.250), Ge at (0.000, 0.465, 0.250) and As at (0.000, 0.188, 0.250).

Its density of states at the Fermi level is 0.566 states/eV/atom. As for the formation energy: -1.08 eV per atom.

***

Below is Ac2GeAs after structural relaxation, with properties calculated at the PBE-GGA level.

The space group is R-3m (No. 166, hexagonal axes) and the conventional cell measures 4.4907, 4.4907 and 23.2700 Å, with angles of 90.00, 90.00 and 120.00 degrees. The asymmetric unit holds Ac at (0.0000, 0.0000, 0.2471), Ge at (0.0000, 0.0000, 0.0000) and As at (0.0000, 0.0000, 0.5000).

Its density of states at the Fermi level is 0.751 states/eV/atom. As for the formation energy: -0.99 eV per atom.

***

Below is AcGeAs4 after structural relaxation, with properties calculated at the PBE-GGA level.

The space group is F-43m (No. 216) and the conventional cell measures 8.169, 8.169 and 8.169 Å, with angles of 90.00, 90.00 and 90.00 degrees. The asymmetric unit holds Ac at (0.000, 0.000, 0.000), Ge at (0.250, 0.250, 0.750) and As at (0.118, 0.118, 0.382).

Its density of states at the Fermi level is 0.631 states/eV/atom. As for the formation energy: -0.16 eV per atom.

***

Below is AcGeAs2 after structural relaxation, with properties calculated at the PBE-GGA level.

The space group is Fm-3m (No. 225) and the conventional cell measures 7.377, 7.377 and 7.377 Å, with angles of 90.00, 90.00 and 90.00 degrees. The asymmetric unit holds Ac at (0.000, 0.000, 0.000), Ge at (0.000, 0.000, 0.500) and As at (0.250, 0.250, 0.250).

Its density of states at the Fermi level is 0.903 states/eV/atom. As for the formation energy: -0.39 eV per atom.

***

Below is Ac2GeAs after structural relaxation, with properties calculated at the PBE-GGA level.

The space group is P4/mmm (No. 123) and the conventional cell measures 3.816, 3.816 and 8.087 Å, with angles of 90.00, 90.00 and 90.00 degrees. The asymmetric unit holds Ac at (0.000, 0.000, 0.235), Ge at (0.500, 0.500, 0.500) and As at (0.500, 0.500, 0.000).

Its density of states at the Fermi level is 0.499 states/eV/atom. As for the formation energy: -0.83 eV per atom.

***

Below is Ac2GeAs after structural relaxation, with properties calculated at the PBE-GGA level.

The space group is Fm-3m (No. 225) and the conventional cell measures 7.794, 7.794 and 7.794 Å, with angles of 90.00, 90.00 and 90.00 degrees. The asymmetric unit holds Ac at (0.250, 0.250, 0.250), Ge at (0.000, 0.000, 0.000) and As at (0.000, 0.000, 0.500).

Its density of states at the Fermi level is 1.309 states/eV/atom. As for the formation energy: -0.76 eV per atom.

***

Below is AcGeAs2 after structural relaxation, with properties calculated at the PBE-GGA level.

The space group is R-3m (No. 166, hexagonal axes) and the conventional cell measures 4.8881, 4.8881 and 22.6061 Å, with angles of 90.00, 90.00 and 120.00 degrees. The asymmetric unit holds Ac at (0.0000, 0.0000, 0.0000), Ge at (0.0000, 0.0000, 0.5000) and As at (0.0000, 0.0000, 0.3967).

Its density of states at the Fermi level is 0.900 states/eV/atom. As for the formation energy: -0.18 eV per atom.

***

Below is AcGe2As after structural relaxation, with properties calculated at the PBE-GGA level.

The space group is P4/mmm (No. 123) and the conventional cell measures 4.501, 4.501 and 4.742 Å, with angles of 90.00, 90.00 and 90.00 degrees. The asymmetric unit holds Ac at (0.000, 0.000, 0.000), Ge at (0.000, 0.500, 0.500) and As at (0.500, 0.500, 0.000).

Its density of states at the Fermi level is 0.579 states/eV/atom. As for the formation energy: -0.41 eV per atom.